No. 1
The following is a DFT calculation (PBE) of crystalline ReTc2Ir at its relaxed geometry.

Values from the calculation:
As for the total moment: 0.000 μB/atom. As for the space group: No. 12. The value obtained for the formation energy is -5.2 kJ/mol of atoms. For the excess energy over the best structure of this formula in the dataset, the calculation gives 0.125 eV per atom.

Lattice parameters (Å, degrees): 4.7692 4.7692 4.7660 80.55 80.55 33.23
Closest atoms and distances in Å follow each position.
Positions (direct):
Ir1 0.7500 0.7500 0.7500  2 Ir 2.73, 4 Re 2.75, 6 Tc 2.75-2.76
Re1 0.2500 0.2500 0.2500  2 Re 2.73, 4 Ir 2.75, 6 Tc 2.75
Tc1 0.0000 0.0000 0.0013  6 Tc 2.73-2.76, 3 Re 2.75, 3 Ir 2.75-2.76
Tc2 0.5000 0.5000 0.4987  6 Tc 2.73-2.76, 3 Re 2.75, 3 Ir 2.75-2.76

***

No. 2
The following is a DFT calculation (PBE) of crystalline NdLuTlCu at its relaxed geometry.

Values from the calculation:
As for the total moment: 0.000 μB/atom. As for the space group: No. 216. The value obtained for the formation energy is -20.6 kJ/mol of atoms.

Lattice parameters (Å, degrees): 5.2179 5.2179 5.2179 60.00 60.00 60.00
Closest atoms and distances in Å follow each position.
Positions (direct):
Tl1 0.7500 0.7500 0.7500  4 Nd 3.20, 4 Lu 3.20
Lu1 0.5000 0.5000 0.5000  4 Cu 3.20, 4 Tl 3.20
Nd1 0.0000 0.0000 0.0000  4 Tl 3.20, 4 Cu 3.20
Cu1 0.2500 0.2500 0.2500  4 Nd 3.20, 4 Lu 3.20

***

No. 3
The following is a DFT calculation (PBE) of crystalline BaPmSn2 at its relaxed geometry.

Values from the calculation:
As for the total moment: 0.065 μB/atom. As for the space group: No. 166. The value obtained for the formation energy is -4.5 kJ/mol of atoms.

Lattice parameters (Å, degrees): 3.7680 3.7680 12.1676 81.09 81.09 60.00
Closest atoms and distances in Å follow each position.
Positions (direct):
Ba1 0.0000 0.0000 0.0000  2 Sn 3.45, 6 Ba 3.77
Sn1 0.0961 0.0961 0.7117  3 Pm 3.34, 1 Ba 3.45
Sn2 0.9039 0.9039 0.2883  3 Pm 3.34, 1 Ba 3.45
Pm1 0.5000 0.5000 0.5000  6 Sn 3.34

***

No. 4
The following is a DFT calculation (PBE) of crystalline LiV2Zn at its relaxed geometry.

Values from the calculation:
As for the total moment: 0.000 μB/atom. As for the space group: No. 122. The value obtained for the formation energy is 54.5 kJ/mol of atoms.

Lattice parameters (Å, degrees): 6.9654 6.9654 5.4407 50.20 50.20 90.00
Closest atoms and distances in Å follow each position.
Positions (direct):
Zn1 0.0000 0.0000 0.0000  2 Li 2.31, 4 V 2.53
Zn2 0.7500 0.2500 0.5000  2 Li 2.31, 4 V 2.53
V1 0.6244 0.1250 0.2500  2 V 2.31, 2 Li 2.53, 2 Zn 2.53
V2 0.1256 0.6250 0.2500  2 V 2.31, 2 Li 2.53, 2 Zn 2.53
V3 0.3750 0.3756 0.7500  2 V 2.31, 2 Li 2.53, 2 Zn 2.53
V4 0.8750 0.8744 0.7500  2 V 2.31, 2 Li 2.53, 2 Zn 2.53
Li1 0.5000 0.5000 0.0000  2 Zn 2.31, 4 V 2.53
Li2 0.2500 0.7500 0.5000  2 Zn 2.31, 4 V 2.53

***

No. 5
The following is a DFT calculation (PBE) of crystalline Ca2Be3Si4Pt at its relaxed geometry.

Values from the calculation:
As for the total moment: 0.000 μB/atom. As for the space group: No. 115. For the raw total energy, the calculation gives -4.698 eV per atom.

Lattice parameters (Å, degrees): 3.9209 3.9209 10.0800 90.00 90.00 90.00
Closest atoms and distances in Å follow each position.
Positions (direct):
Ca1 0.5000 0.0000 0.2436  6 Be 3.00-3.24, 8 Si 3.01-3.14, 2 Pt 3.24
Ca2 0.0000 0.5000 0.7564  6 Be 3.00-3.24, 8 Si 3.01-3.14, 2 Pt 3.24
Be1 0.0000 0.0000 0.5000  4 Si 2.42
Be2 0.5000 0.0000 0.8692  5 Si 2.30-2.36
Be3 0.0000 0.5000 0.1308  5 Si 2.30-2.36
Si1 0.5000 0.5000 0.0000  4 Be 2.36
Si2 0.0000 0.0000 0.0000  4 Be 2.36
Si3 0.5000 0.0000 0.6409  3 Be 2.30-2.42, 2 Pt 2.42
Si4 0.0000 0.5000 0.3591  3 Be 2.30-2.42, 2 Pt 2.42
Pt1 0.5000 0.5000 0.5000  4 Si 2.42

***

No. 6
The following is a DFT calculation (PBE) of crystalline Ag2Pt4F at its relaxed geometry.

Values from the calculation:
As for the total moment: 0.000 μB/atom. As for the space group: No. 139. For the raw total energy, the calculation gives -3.790 eV per atom.

Lattice parameters (Å, degrees): 4.1902 4.1902 7.7576 74.33 74.33 90.00
Closest atoms and distances in Å follow each position.
Positions (direct):
Ag1 0.6361 0.6361 0.7277  5 Pt 2.62-2.86
Ag2 0.3639 0.3639 0.2723  5 Pt 2.62-2.86
Pt1 0.8188 0.8188 0.3623  1 F 2.60, 1 Ag 2.62
Pt2 0.1812 0.1812 0.6377  1 F 2.60, 1 Ag 2.62
Pt3 0.0000 0.5000 0.0000  2 F 2.10
Pt4 0.5000 0.0000 0.0000  2 F 2.10
F1 0.0000 0.0000 0.0000  4 Pt 2.10

***

Going through the records in order, we get density of states at the Fermi level values of 1.07, 0.78, 1.16, 0.85, 0.23, 1.53 states/eV/atom.